Record 1
4
Lattice="-1.546 0.719 2.394 -3.488 0.424 -2.380 -1.623 -7.162 1.103" Properties=species:S:1:pos:R:3 comment="SCAN BaPt2W, PBEsol geometry" formation_energy_ev_per_atom=0.056 relative_energy_mev_per_atom=0 magmom_total_mub_per_cell=0.00 space_group="Pmm2, No. 25" pbc="T T T"
Pt -1.578 -6.965 1.073
Pt -2.735 -4.162 -0.517
W -1.896 -4.598 1.960
Ba -2.882 -1.038 0.254

---

Record 2
5
Lattice="-3.449 -0.297 3.750 0.166 -5.094 -0.251 3.758 -0.048 3.452" Properties=species:S:1:pos:R:3 comment="SCAN BaPt3W, PBEsol geometry" formation_energy_ev_per_atom=2.767 magmom_total_mub_per_cell=3.75 space_group="Pm-3m, No. 221" pbc="T T T"
Pt -1.724 -0.149 1.875
Pt 0.083 -2.547 -0.126
Pt 1.879 -0.024 1.726
Ba 0.000 0.000 0.000
W 0.238 -2.720 3.476

---

Record 3
4
Lattice="-1.625 -0.692 -2.676 2.744 -0.033 -1.658 1.010 -9.585 1.865" Properties=species:S:1:pos:R:3 comment="SCAN Ba2PtW, PBEsol geometry" formation_energy_ev_per_atom=0.892 relative_energy_mev_per_atom=103 magmom_total_mub_per_cell=0.00 space_group="P4/mmm, No. 123" pbc="T T T"
Pt 0.559 -0.363 -2.167
Ba 0.778 -7.383 1.437
Ba 0.232 -2.202 0.428
W 1.065 -5.155 -1.235

---

Record 4
4
Lattice="-3.808 -0.680 -0.778 0.939 -3.516 -1.524 -0.785 -3.015 6.472" Properties=species:S:1:pos:R:3 comment="SCAN Ba2PtW, PBEsol geometry" formation_energy_ev_per_atom=0.789 relative_energy_mev_per_atom=0 magmom_total_mub_per_cell=3.46 space_group="P4/mmm, No. 123" pbc="T T T"
W -1.827 -3.605 2.085
Ba -0.184 -0.706 1.516
Ba -0.601 -2.309 4.956
Pt -1.434 -2.098 -1.151

---

Record 5
4
Lattice="3.558 0.000 0.000 0.000 3.558 0.000 0.000 0.000 7.458" Properties=species:S:1:pos:R:3 comment="SCAN BaYPt2, PBEsol geometry" formation_energy_ev_per_atom=-1.107 relative_energy_mev_per_atom=0 magmom_total_mub_per_cell=0.00 space_group="P4/mmm, No. 123" pbc="T T T"
Y 1.779 1.779 3.729
Ba 1.779 1.779 0.000
Pt 0.000 0.000 2.232
Pt 0.000 0.000 5.226

---

Record 6
5
Lattice="-1.383 1.362 5.175 0.318 -5.315 1.484 5.342 0.669 1.251" Properties=species:S:1:pos:R:3 comment="SCAN BaY3Pt, PBEsol geometry" formation_energy_ev_per_atom=-0.558 magmom_total_mub_per_cell=0.00 space_group="Pm-3m, No. 221" pbc="T T T"
Ba 2.139 -1.642 3.955
Y -0.691 0.681 2.588
Y 0.159 -2.658 0.742
Y 2.671 0.335 0.626
Pt 0.000 0.000 0.000

---

Record 7
4
Lattice="3.927 0.000 -0.018 0.000 4.355 0.000 -1.928 0.000 6.031" Properties=species:S:1:pos:R:3 comment="SCAN BaYPt2, PBEsol geometry" formation_energy_ev_per_atom=-1.000 relative_energy_mev_per_atom=107 magmom_total_mub_per_cell=0.00 space_group="Pm, No. 6" pbc="T T T"
Y 1.239 0.000 2.184
Ba -0.705 2.177 4.969
Pt 3.191 0.000 0.064
Pt 3.200 2.177 1.783

---

Record 8
4
Lattice="4.225 0.000 0.000 0.000 4.225 0.000 0.000 0.000 5.976" Properties=species:S:1:pos:R:3 comment="SCAN BaYPt2, PBEsol geometry" formation_energy_ev_per_atom=-0.840 relative_energy_mev_per_atom=267 magmom_total_mub_per_cell=0.00 space_group="P4/mmm, No. 123" pbc="T T T"
Pt 2.113 2.113 2.241
Pt 0.000 0.000 5.227
Ba 2.113 2.113 5.229
Y 0.000 0.000 2.243